No. 1
The following is a DFT calculation (PBE) of a relaxed NaCrBi3 crystal.

Structure (CIF):
```
data_NaCrBi3
_chemical_formula_sum 'Na1 Cr1 Bi3'
_symmetry_space_group_name_H-M 'P m -3 m'
_symmetry_Int_Tables_number 221
_symmetry_space_group_name_Hall '-P 4 2 3'
_cell_length_a 5.4775
_cell_length_b 5.4775
_cell_length_c 5.4775
_cell_angle_alpha 90.00
_cell_angle_beta 90.00
_cell_angle_gamma 90.00
loop_
_atom_site_label
_atom_site_type_symbol
_atom_site_fract_x
_atom_site_fract_y
_atom_site_fract_z
_atom_site_occupancy
Na1 Na 0.0000 0.0000 0.0000 1
Cr1 Cr 0.5000 0.5000 0.5000 1
Bi1 Bi 0.0000 0.0000 0.5000 1
```

Output
For the mass density, the calculation gives 7092 kg/m3. As for the electronic total energy: -0.13170 hartree per atom. For the total magnetization, the calculation gives 4.4 μB per formula unit. The energy above the most stable polymorph in this dataset is 0.678 eV per atom.



No. 2
The following is a DFT calculation (PBE) of a relaxed CaEuAsPt crystal.

Structure (CIF):
```
data_CaEuAsPt
_chemical_formula_sum 'Ca4 Eu4 As4 Pt4'
_symmetry_space_group_name_H-M 'F -4 3 m'
_symmetry_Int_Tables_number 216
_symmetry_space_group_name_Hall 'F -4 2 3'
_cell_length_a 7.1932
_cell_length_b 7.1932
_cell_length_c 7.1932
_cell_angle_alpha 90.00
_cell_angle_beta 90.00
_cell_angle_gamma 90.00
loop_
_atom_site_label
_atom_site_type_symbol
_atom_site_fract_x
_atom_site_fract_y
_atom_site_fract_z
_atom_site_occupancy
Ca1 Ca 0.0000 0.0000 0.0000 1
Eu1 Eu 0.0000 0.0000 0.5000 1
As1 As 0.2500 0.2500 0.2500 1
Pt1 Pt 0.2500 0.2500 0.7500 1
```

Output
For the mass density, the calculation gives 8246 kg/m3. As for the electronic total energy: -0.24511 hartree per atom. For the total magnetization, the calculation gives 6.7 μB per formula unit.



No. 3
The following is a DFT calculation (PBE) of a relaxed TaHg2 crystal.

Structure (CIF):
```
data_TaHg2
_chemical_formula_sum 'Ta4 Hg8'
_symmetry_space_group_name_H-M 'C m c m'
_symmetry_Int_Tables_number 63
_symmetry_space_group_name_Hall '-C 2c 2'
_cell_length_a 5.0772
_cell_length_b 17.7990
_cell_length_c 3.0172
_cell_angle_alpha 90.00
_cell_angle_beta 90.00
_cell_angle_gamma 90.00
loop_
_atom_site_label
_atom_site_type_symbol
_atom_site_fract_x
_atom_site_fract_y
_atom_site_fract_z
_atom_site_occupancy
Ta1 Ta 0.0000 0.0629 0.2500 1
Hg1 Hg 0.0000 0.2113 0.7500 1
Hg2 Hg 0.0000 0.4159 0.2500 1
```

Output
For the mass density, the calculation gives 14181 kg/m3. As for the electronic total energy: -0.14046 hartree per atom. For the total magnetization, the calculation gives 0.0 μB per formula unit.



No. 4
The following is a DFT calculation (PBE) of a relaxed YIn6Pd12 crystal.

Structure (CIF):
```
data_YIn6Pd12
_chemical_formula_sum 'Y3 In18 Pd36'
_symmetry_space_group_name_H-M 'R -3'
_symmetry_Int_Tables_number 148
_symmetry_space_group_name_Hall '-R 3'
_cell_length_a 11.3222
_cell_length_b 11.3222
_cell_length_c 9.6577
_cell_angle_alpha 90.00
_cell_angle_beta 90.00
_cell_angle_gamma 120.00
loop_
_atom_site_label
_atom_site_type_symbol
_atom_site_fract_x
_atom_site_fract_y
_atom_site_fract_z
_atom_site_occupancy
Y1 Y 0.0000 0.0000 0.0000 1
In1 In 0.0622 0.1831 0.7282 1
Pd1 Pd 0.0208 0.2656 0.9909 1
Pd2 Pd 0.0614 0.5154 0.1227 1
```

Output
For the mass density, the calculation gives 9547 kg/m3. As for the electronic total energy: -0.17722 hartree per atom. For the total magnetization, the calculation gives 0.0 μB per formula unit.



No. 5
The following is a DFT calculation (PBE) of a relaxed RbCd4Ga crystal.

Structure (CIF):
```
data_RbCd4Ga
_chemical_formula_sum 'Rb4 Cd16 Ga4'
_symmetry_space_group_name_H-M 'F -4 3 m'
_symmetry_Int_Tables_number 216
_symmetry_space_group_name_Hall 'F -4 2 3'
_cell_length_a 8.7560
_cell_length_b 8.7560
_cell_length_c 8.7560
_cell_angle_alpha 90.00
_cell_angle_beta 90.00
_cell_angle_gamma 90.00
loop_
_atom_site_label
_atom_site_type_symbol
_atom_site_fract_x
_atom_site_fract_y
_atom_site_fract_z
_atom_site_occupancy
Rb1 Rb 0.0000 0.0000 0.0000 1
Cd1 Cd 0.1244 0.1244 0.3756 1
Ga1 Ga 0.2500 0.2500 0.7500 1
```

Output
For the mass density, the calculation gives 5984 kg/m3. As for the electronic total energy: -0.04414 hartree per atom. For the total magnetization, the calculation gives 0.0 μB per formula unit. The energy above the most stable polymorph in this dataset is 0.069 eV per atom.



No. 6
The following is a DFT calculation (PBE) of a relaxed MgGe2RhO6 crystal.

Structure (CIF):
```
data_MgGe2RhO6
_chemical_formula_sum 'Mg4 Ge8 Rh4 O24'
_symmetry_space_group_name_H-M 'C 1 2/c 1'
_symmetry_Int_Tables_number 15
_cell_length_a 9.9192
_cell_length_b 9.1970
_cell_length_c 5.2905
_cell_angle_alpha 90.00
_cell_angle_beta 103.08
_cell_angle_gamma 90.00
loop_
_symmetry_equiv_pos_as_xyz
'x,y,z'
'-x,-y,-z'
'-x,y,-z+1/2'
'x,-y,z+1/2'
'x+1/2,y+1/2,z'
'-x+1/2,-y+1/2,-z'
'-x+1/2,y+1/2,-z+1/2'
'x+1/2,-y+1/2,z+1/2'
loop_
_atom_site_label
_atom_site_type_symbol
_atom_site_fract_x
_atom_site_fract_y
_atom_site_fract_z
_atom_site_occupancy
Mg1 Mg 0.0000 0.0930 0.2500 1
Ge1 Ge 0.2002 0.4076 0.2782 1
Rh1 Rh 0.0000 0.2702 0.7500 1
O1 O 0.1167 0.0842 0.6296 1
O2 O 0.1204 0.2514 0.1249 1
O3 O 0.1400 0.4352 0.5760 1
```

Output
For the mass density, the calculation gives 5206 kg/m3. The calculation puts the formation energy from raw total energies at -148 kJ/mol of atoms. As for the electronic total energy: -0.23247 hartree per atom. For the total magnetization, the calculation gives 1.0 μB per formula unit.



No. 7
The following is a DFT calculation (PBE) of a relaxed LaMn4C2 crystal.

Structure (CIF):
```
data_LaMn4C2
_chemical_formula_sum 'La2 Mn8 C4'
_symmetry_space_group_name_H-M 'I 4/m m m'
_symmetry_Int_Tables_number 139
_symmetry_space_group_name_Hall '-I 4 2'
_cell_length_a 4.6466
_cell_length_b 4.6466
_cell_length_c 10.8499
_cell_angle_alpha 90.00
_cell_angle_beta 90.00
_cell_angle_gamma 90.00
loop_
_atom_site_label
_atom_site_type_symbol
_atom_site_fract_x
_atom_site_fract_y
_atom_site_fract_z
_atom_site_occupancy
La1 La 0.0000 0.0000 0.0000 1
Mn1 Mn 0.0000 0.0000 0.2691 1
Mn2 Mn 0.0000 0.5000 0.0000 1
C1 C 0.0000 0.0000 0.4382 1
```

Output
For the mass density, the calculation gives 5425 kg/m3. As for the electronic total energy: -0.26631 hartree per atom. For the total magnetization, the calculation gives 11.1 μB per formula unit.



No. 8
The following is a DFT calculation (PBE) of a relaxed YHf2TaI crystal.

Structure (CIF):
```
data_YHf2TaI
_chemical_formula_sum 'Y1 Hf2 Ta1 I1'
_symmetry_space_group_name_H-M 'P 4/m m m'
_symmetry_Int_Tables_number 123
_symmetry_space_group_name_Hall '-P 4 2'
_cell_length_a 5.1433
_cell_length_b 5.1433
_cell_length_c 5.3408
_cell_angle_alpha 90.00
_cell_angle_beta 90.00
_cell_angle_gamma 90.00
loop_
_atom_site_label
_atom_site_type_symbol
_atom_site_fract_x
_atom_site_fract_y
_atom_site_fract_z
_atom_site_occupancy
Y1 Y 0.0000 0.0000 0.0000 1
Hf1 Hf 0.0000 0.5000 0.5000 1
Ta1 Ta 0.5000 0.5000 0.0000 1
I1 I 0.0000 0.0000 0.5000 1
```

Output
For the mass density, the calculation gives 8859 kg/m3. The calculation puts the formation energy from raw total energies at 127 kJ/mol of atoms. As for the electronic total energy: -0.24399 hartree per atom. For the total magnetization, the calculation gives 0.0 μB per formula unit.



No. 9
The following is a DFT calculation (PBE) of a relaxed AlFe3 crystal.

Structure (CIF):
```
data_AlFe3
_chemical_formula_sum 'Al2 Fe6'
_symmetry_space_group_name_H-M 'P m -3 n'
_symmetry_Int_Tables_number 223
_symmetry_space_group_name_Hall '-P 4n 2 3'
_cell_length_a 4.5913
_cell_length_b 4.5913
_cell_length_c 4.5913
_cell_angle_alpha 90.00
_cell_angle_beta 90.00
_cell_angle_gamma 90.00
loop_
_atom_site_label
_atom_site_type_symbol
_atom_site_fract_x
_atom_site_fract_y
_atom_site_fract_z
_atom_site_occupancy
Al1 Al 0.0000 0.0000 0.0000 1
Fe1 Fe 0.0000 0.2500 0.5000 1
```

Output
For the mass density, the calculation gives 6675 kg/m3. As for the electronic total energy: -0.27325 hartree per atom. For the total magnetization, the calculation gives 6.5 μB per formula unit.



No. 10
The following is a DFT calculation (PBE) of a relaxed RbAgBr6 crystal.

Structure (CIF):
```
data_RbAgBr6
_chemical_formula_sum 'Rb1 Ag1 Br6'
_symmetry_space_group_name_H-M 'P -1'
_symmetry_Int_Tables_number 2
_cell_length_a 6.5103
_cell_length_b 7.1009
_cell_length_c 8.3149
_cell_angle_alpha 100.10
_cell_angle_beta 102.19
_cell_angle_gamma 109.57
loop_
_symmetry_equiv_pos_as_xyz
'x,y,z'
'-x,-y,-z'
loop_
_atom_site_label
_atom_site_type_symbol
_atom_site_fract_x
_atom_site_fract_y
_atom_site_fract_z
_atom_site_occupancy
Rb1 Rb 0.0000 0.0000 0.0000 1
Ag1 Ag 0.5000 0.5000 0.5000 1
Br1 Br 0.1320 0.5555 0.9142 1
Br2 Br 0.1670 0.1034 0.4578 1
Br3 Br 0.4450 0.7473 0.7291 1
```

Output
For the mass density, the calculation gives 3275 kg/m3. The calculation puts the formation energy from raw total energies at -49 kJ/mol of atoms. As for the electronic total energy: -0.08242 hartree per atom. For the total magnetization, the calculation gives 0.0 μB per formula unit. The energy above the most stable polymorph in this dataset is 0.000 eV per atom.



No. 11
The following is a DFT calculation (PBE) of a relaxed Ac2MgInNi crystal.

Structure (CIF):
```
data_Ac2MgInNi
_chemical_formula_sum 'Ac4 Mg2 In2 Ni2'
_symmetry_space_group_name_H-M 'P 1 21/m 1'
_symmetry_Int_Tables_number 11
_cell_length_a 8.1175
_cell_length_b 4.6598
_cell_length_c 8.2620
_cell_angle_alpha 90.00
_cell_angle_beta 111.00
_cell_angle_gamma 90.00
loop_
_symmetry_equiv_pos_as_xyz
'x,y,z'
'-x,-y,-z'
'-x,y+1/2,-z'
'x,-y+1/2,z'
loop_
_atom_site_label
_atom_site_type_symbol
_atom_site_fract_x
_atom_site_fract_y
_atom_site_fract_z
_atom_site_occupancy
Ac1 Ac 0.0986 0.2500 0.3281 1
Ac2 Ac 0.2889 0.2500 0.9659 1
Mg1 Mg 0.4322 0.7500 0.3332 1
In1 In 0.3311 0.7500 0.6567 1
Ni1 Ni 0.0868 0.7500 0.0691 1
```

Output
For the mass density, the calculation gives 7419 kg/m3. As for the electronic total energy: -0.14645 hartree per atom. For the total magnetization, the calculation gives 0.0 μB per formula unit.



No. 12
The following is a DFT calculation (PBE) of a relaxed SrCd5In7 crystal.

Structure (CIF):
```
data_SrCd5In7
_chemical_formula_sum 'Sr2 Cd10 In14'
_symmetry_space_group_name_H-M 'I m m 2'
_symmetry_Int_Tables_number 44
_cell_length_a 5.9574
_cell_length_b 10.8887
_cell_length_c 10.6106
_cell_angle_alpha 90.00
_cell_angle_beta 90.00
_cell_angle_gamma 90.00
loop_
_symmetry_equiv_pos_as_xyz
'x,y,z'
'-x,-y,z'
'-x,y,z'
'x,-y,z'
'x+1/2,y+1/2,z+1/2'
'-x+1/2,-y+1/2,z+1/2'
'-x+1/2,y+1/2,z+1/2'
'x+1/2,-y+1/2,z+1/2'
loop_
_atom_site_label
_atom_site_type_symbol
_atom_site_fract_x
_atom_site_fract_y
_atom_site_fract_z
_atom_site_occupancy
Sr1 Sr 0.0000 0.0000 0.0000 1
Cd1 Cd 0.0000 0.5000 0.2855 1
Cd2 Cd 0.2498 0.2460 0.7510 1
In1 In 0.0000 0.0000 0.3544 1
In2 In 0.0000 0.0000 0.6480 1
In3 In 0.0000 0.2978 0.5002 1
In4 In 0.0000 0.3530 0.0001 1
In5 In 0.0000 0.5000 0.7150 1
```

Output
For the mass density, the calculation gives 7013 kg/m3. As for the electronic total energy: -0.07484 hartree per atom. For the total magnetization, the calculation gives 0.0 μB per formula unit.